YCo2Ge2: PBEsol geometry, SCAN.

```
data_YCo2Ge2
_chemical_formula_sum 'Y2 Co4 Ge4'
_cell_length_a 4.0977
_cell_length_b 4.0977
_cell_length_c 9.1272
_cell_angle_alpha 90.00
_cell_angle_beta 90.00
_cell_angle_gamma 90.00
_space_group_name_H-M_alt 'I 4/m m m'
_space_group_IT_number 139
_space_group_name_Hall '-I 4 2'
loop_
_atom_site_label
_atom_site_type_symbol
_atom_site_fract_x
_atom_site_fract_y
_atom_site_fract_z
Y1 Y 0.0000 0.0000 0.0000
Co1 Co 0.0000 0.0000 0.3777
Ge1 Ge 0.0000 0.5000 0.2500
```

Results
- Spin magnetization: 0.0 μB per cell
- Formation enthalpy at 0 K: -2.133 eV per formula unit